Entry 1:
19
Lattice="9.1988 -0.7102 -2.8359 -3.6368 8.4792 -2.8359 -0.5085 -0.7102 9.6126" Properties=species:S:1:pos:R:3 comment="CaLa6Tb12 GGA-PBE relaxed" magnetic_moment_mub_per_atom=0.000 formation_enthalpy_0k_ev_per_fu=7.556 sg="No. 166" pbc="T T T"
Ca 0.0000 0.0000 0.0000
Tb -2.5078 7.1338 1.9704
Tb 2.0827 2.9091 -0.3972
Tb 3.7538 -0.0751 6.8531
Tb 2.3391 6.0054 1.8240
Tb 2.9708 4.1496 4.3380
Tb 6.3343 3.5294 -2.9124
Tb -1.2808 3.5294 6.8531
Tb 1.2998 7.1338 -2.9124
Tb 0.1224 2.9091 2.1168
Tb 4.9312 4.1496 1.8240
Tb 7.5614 -0.0751 1.9704
Tb 2.7145 1.0533 2.1168
La -0.0364 6.1358 -0.0284
La 1.3910 1.9428 5.6516
La 3.6626 5.1159 -1.7109
La 5.8202 1.9428 -0.0284
La -0.7666 5.1159 3.9692
La 5.0900 0.9229 3.9692

=====

Entry 2:
12
Lattice="12.5108 0.0000 0.0150 6.2554 5.1073 0.0075 -0.0062 0.0000 6.8011" Properties=species:S:1:pos:R:3 comment="CaLa3Tb2 GGA-PBE relaxed" magnetic_moment_mub_per_atom=0.000 formation_enthalpy_0k_ev_per_fu=1.095 sg="No. 63" pbc="T T T"
Tb 12.5077 1.7697 3.4156
Tb 6.2554 3.3376 0.0075
Tb 12.5108 1.7697 0.0150
Tb 6.2523 3.3376 3.4081
La 9.4185 3.4285 5.1115
La 15.5969 3.4285 1.7197
La 9.3415 1.6789 1.7122
La 9.8694 0.0000 5.1140
La 3.1631 1.6789 5.1039
La 2.6352 0.0000 1.7022
Ca 6.5483 0.0000 5.1084
Ca 5.9563 0.0000 1.7077

=====

Entry 3:
19
Lattice="11.8944 0.0000 0.0000 -5.9472 6.7181 0.6266 0.0000 3.7407 8.9671" Properties=species:S:1:pos:R:3 comment="Ca2La12Tb5 GGA-PBE relaxed" magnetic_moment_mub_per_atom=0.000 formation_enthalpy_0k_ev_per_fu=2.291 sg="No. 12" pbc="T T T"
La 3.0263 3.5811 5.3749
La -2.7900 6.9438 7.6885
La 8.8681 3.5811 5.3749
La 8.7372 3.5150 1.9052
La 5.9472 8.7535 8.8057
La 0.0000 8.8531 7.4814
La 2.9209 6.8777 4.2188
La 3.1572 3.5150 1.9052
La 0.0000 1.7053 0.7879
La 2.7900 6.9438 7.6885
La 5.9472 1.6057 2.1123
La -2.9209 6.8777 4.2188
Tb 5.9472 5.0804 3.6032
Tb 0.0000 1.8703 4.4835
Tb 0.0000 5.3784 5.9905
Tb 0.0000 4.8572 2.5642
Tb 5.9472 5.6015 7.0295
Ca 3.3301 0.0000 0.0000
Ca 8.5643 0.0000 0.0000

=====

What is the formula in the first record? CaLa6Tb12

=====

Number 2 is which compound? CaLa3Tb2